# Al2PdCl8

A relaxed Al2PdCl8 crystal (GGA-PBEsol, Alexandria).

Values from the calculation:
magnetic moment: 0.226 μB/cell
mass density: 2.31 g/cm³
total DFT energy (no corrections): -86.65 eV for the cell shown

Cell lengths 6.5794, 7.2345, 13.5607 Å; angles 90.00, 98.78, 90.00 degrees
Closest atoms and distances in Å follow each position.
Fractional coordinates of all 22 atoms:
Al (0.1521, 0.2179, 0.3994)  4 Cl 2.10-2.23
Al (0.1521, 0.2821, 0.8994)  4 Cl 2.10-2.23
Al (0.8479, 0.7179, 0.1006)  4 Cl 2.10-2.23
Al (0.8479, 0.7821, 0.6006)  4 Cl 2.10-2.23
Pd (0.5000, 0.0000, 0.0000)  4 Cl 2.30
Pd (0.5000, 0.5000, 0.5000)  4 Cl 2.30
Cl (0.1559, 0.7117, 0.0753)  1 Al 2.11
Cl (0.1559, 0.7883, 0.5753)  1 Al 2.11
Cl (0.2323, 0.0201, 0.2991)  1 Al 2.10
Cl (0.2323, 0.4799, 0.7991)  1 Al 2.10
Cl (0.2548, 0.0026, 0.8592)  1 Al 2.23, 1 Pd 2.30
Cl (0.2548, 0.4974, 0.3592)  1 Al 2.23, 1 Pd 2.30
Cl (0.3638, 0.2243, 0.5438)  1 Al 2.22, 1 Pd 2.30
Cl (0.3638, 0.2757, 0.0438)  1 Al 2.22, 1 Pd 2.30
Cl (0.6362, 0.7243, 0.9562)  1 Al 2.22, 1 Pd 2.30
Cl (0.6362, 0.7757, 0.4562)  1 Al 2.22, 1 Pd 2.30
Cl (0.7452, 0.5026, 0.6408)  1 Al 2.23, 1 Pd 2.30
Cl (0.7452, 0.9974, 0.1408)  1 Al 2.23, 1 Pd 2.30
Cl (0.7677, 0.5201, 0.2009)  1 Al 2.10
Cl (0.7677, 0.9799, 0.7009)  1 Al 2.10
Cl (0.8441, 0.2117, 0.4247)  1 Al 2.11
Cl (0.8441, 0.2883, 0.9247)  1 Al 2.11